No. 1
A geometry-optimized LuZnGaOs structure, computed with PBE.

Cell: 4.5361 4.5361 4.5361 Å, 60.00 60.00 60.00°
With the nearest neighbours (Å) after each atom.
Element x y z (fractional)
Lu  0.0000  0.0000  0.0000  4 Zn 2.78, 4 Ga 2.78
Zn  0.7500  0.7500  0.7500  4 Os 2.78, 4 Lu 2.78
Ga  0.2500  0.2500  0.2500  4 Os 2.78, 4 Lu 2.78
Os  0.5000  0.5000  0.5000  4 Ga 2.78, 4 Zn 2.78

Output
DOS(E_F) = 2.8 states/eV per cell
space group = F-43m (216)
V = 16.5 Å³ per atom
calculated density = 12589 kg/m3
calculated formation energy = -4.71 kcal/mol of atoms
spin magnetization = 0.00 μB per atom


No. 2
A geometry-optimized TiIr2OsN structure, computed with PBE.

Cell: 4.5806 4.5806 4.6148 Å, 90.00 90.00 90.00°
With the nearest neighbours (Å) after each atom.
Element x y z (fractional)
Ti  0.0000  0.0000  0.0000  4 Ir 2.29, 2 Os 2.31
Ir  0.0000  0.5000  0.0000  2 Ti 2.29
Ir  0.5000  0.0000  0.0000  2 Ti 2.29
Os  0.0000  0.0000  0.5000  2 Ti 2.31
N  0.5000  0.5000  0.5000  4 Os 3.24, 8 Ir 3.25

Output
DOS(E_F) = 10.4 states/eV per cell
space group = P4/mmm (123)
V = 19.4 Å³ per atom
calculated density = 10916 kg/m3
raw formation energy = 2735 meV per atom
spin magnetization = 0.66 μB per atom


No. 3
A geometry-optimized Ca2YCo structure, computed with PBE.

Cell: 5.2298 5.2298 5.2298 Å, 119.90 119.90 90.18°
With the nearest neighbours (Å) after each atom.
Element x y z (fractional)
Ca  0.0000  0.0000  0.0000  4 Co 3.20, 4 Ca 3.20
Ca  0.7500  0.2500  0.5000  4 Ca 3.20, 4 Y 3.20
Y  0.5000  0.5000  0.0000  4 Co 3.20, 4 Ca 3.20
Co  0.2500  0.7500  0.5000  4 Ca 3.20, 4 Y 3.20

Output
DOS(E_F) = 6.5 states/eV per cell
space group = I-4m2 (119)
V = 25.3 Å³ per atom
calculated density = 3737 kg/m3
calculated formation energy = 9.36 kcal/mol of atoms
spin magnetization = 0.00 μB per atom
energy relative to the lowest polymorph listed for this composition = 354.4 meV/atom


No. 4
A geometry-optimized La15PmY4 structure, computed with PBE.

Cell: 5.2257 5.2257 26.1341 Å, 90.00 90.00 90.00°
With the nearest neighbours (Å) after each atom.
Element x y z (fractional)
La  0.0000  0.0000  0.0000  4 Pm 3.70, 8 La 3.70
La  0.0000  0.0000  0.2002  8 La 3.69-3.70, 4 Y 3.70
La  0.0000  0.0000  0.4000  8 La 3.69-3.70, 4 Y 3.70
La  0.0000  0.0000  0.6000  8 La 3.69-3.70, 4 Y 3.70
La  0.0000  0.0000  0.7998  8 La 3.69-3.70, 4 Y 3.70
La  0.0000  0.5000  0.1003  8 La 3.69-3.70, 2 Y 3.70, 2 Pm 3.70
La  0.0000  0.5000  0.3002  4 Y 3.69, 8 La 3.69-3.70
La  0.0000  0.5000  0.5000  8 La 3.70, 4 Y 3.70
La  0.0000  0.5000  0.6998  4 Y 3.69, 8 La 3.69-3.70
La  0.0000  0.5000  0.8997  8 La 3.69-3.70, 2 Y 3.70, 2 Pm 3.70
La  0.5000  0.0000  0.1003  8 La 3.69-3.70, 2 Y 3.70, 2 Pm 3.70
La  0.5000  0.0000  0.3002  4 Y 3.69, 8 La 3.69-3.70
La  0.5000  0.0000  0.5000  8 La 3.70, 4 Y 3.70
La  0.5000  0.0000  0.6998  4 Y 3.69, 8 La 3.69-3.70
La  0.5000  0.0000  0.8997  8 La 3.69-3.70, 2 Y 3.70, 2 Pm 3.70
Pm  0.5000  0.5000  0.0000  12 La 3.70
Y  0.5000  0.5000  0.2005  12 La 3.69-3.70
Y  0.5000  0.5000  0.4000  12 La 3.69-3.70
Y  0.5000  0.5000  0.6000  12 La 3.69-3.70
Y  0.5000  0.5000  0.7995  12 La 3.69-3.70

Output
DOS(E_F) = 28.8 states/eV per cell
space group = P4/mmm (123)
V = 35.7 Å³ per atom
calculated density = 6013 kg/m3
calculated formation energy = 0.17 kcal/mol of atoms
spin magnetization = 0.00 μB per atom


- Which of these has the lowest V?
  LuZnGaOs